! MnNiW, relaxed, DFT GGA-PBE; values from VASP
&SYSTEM
  ibrav = 0, nat = 3, ntyp = 3
/
ATOMIC_SPECIES
Mn 54.94 Mn.upf
Ni 58.69 Ni.upf
W 183.84 W.upf
CELL_PARAMETERS angstrom
-1.322 1.322 5.662
1.322 -1.322 5.662
1.322 1.322 -5.662
ATOMIC_POSITIONS angstrom
Mn 0.000 0.000 0.000
Ni 0.000 0.000 3.912
W 0.000 0.000 7.688
! E_form = 11 kJ per mole of atoms
! Offset from the most stable computed form = 77 meV/atom
! Energy = -9.186 eV/atom
! ρ = 12.478 g cm⁻³